CrAs2BrO after structural relaxation, computed with GGA+U.

Total magnetic moment (Bohr magnetons per cell): 4.3
Excess energy over the best structure of this formula in the dataset (eV/atom): 0.000
Raw total energy (eV/atom): -4.535

Unit cell a=4.108 b=4.108 c=6.567 alpha=90.00 beta=90.00 gamma=90.00
Space group P4/mmm (No. 123)
Symmetry-distinct sites (fractional):
Cr 0.000 0.000 0.000 x1
As 0.000 0.500 0.500 x2
Br 0.500 0.500 0.000 x1
O 0.500 0.500 0.500 x1